An optimized crystal structure of YMoAu3, computed with PBE.

Unit cell a=5.3397 b=5.3397 c=5.3397 alpha=90.00 beta=90.00 gamma=90.00
Last column: magnetic moment on the atom in μB.
Positions (direct):
1 Y 0.0000 0.0000 0.0000  0.00
2 Mo 0.5000 0.5000 0.5000  3.83
3 Au 0.0000 0.5000 0.0000  0.02
4 Au 0.0000 0.0000 0.5000  0.06
5 Au 0.5000 0.0000 0.0000  -0.01

Calculated values
ΔE_f, eV/atom: 1.12
SG: No. 221
ΔE to the lowest computed polymorph, meV/atom: 642
DOS at the Fermi energy, states/eV per atom: 0.379
E_tot, Ha/atom: -0.1581